[1]
# Sc3TaFe

Sc3TaFe after structural relaxation (PBE, Alexandria).

a b c (Å): 4.7314 4.7314 4.7314
angles (deg): 90.00 90.00 90.00
Space group Pm-3m (No. 221)
Asymmetric unit:
Sc 0.0000 0.0000 0.5000 (multiplicity 3)
Ta 0.5000 0.5000 0.5000 (multiplicity 1)
Fe 0.0000 0.0000 0.0000 (multiplicity 1)

Values from the calculation:
formation enthalpy at 0 K = 0.5040 eV/atom
offset from the most stable computed form = 0.0 kJ/mol of formula units
Fermi-level density of states = 0.862 states/eV/atom

[2]
# Sc2TaFe

Sc2TaFe after structural relaxation (PBE, Alexandria).

a b c (Å): 3.0108 3.0108 28.2924
angles (deg): 90.00 90.00 120.00
Space group R-3m (No. 166, hexagonal axes)
Asymmetric unit:
Sc 0.0000 0.0000 0.0789 (multiplicity 6)
Ta 0.0000 0.0000 0.5000 (multiplicity 3)
Fe 0.0000 0.0000 0.0000 (multiplicity 3)

Values from the calculation:
formation enthalpy at 0 K = 0.5236 eV/atom
offset from the most stable computed form = 214.9 kJ/mol of formula units
Fermi-level density of states = 1.610 states/eV/atom

[3]
# Sc4TaFe

Sc4TaFe after structural relaxation (PBE, Alexandria).

a b c (Å): 7.9440 7.9440 7.9440
angles (deg): 90.00 90.00 90.00
Space group F-43m (No. 216)
Asymmetric unit:
Sc 0.1244 0.1244 0.1244 (multiplicity 16)
Ta 0.2500 0.2500 0.7500 (multiplicity 4)
Fe 0.0000 0.0000 0.5000 (multiplicity 4)

Values from the calculation:
formation enthalpy at 0 K = 0.7143 eV/atom
Fermi-level density of states = 1.923 states/eV/atom

[4]
# Sc2TaFe

Sc2TaFe after structural relaxation (PBE, Alexandria).

a b c (Å): 3.1873 4.7834 9.5914
angles (deg): 90.00 90.00 90.00
Space group Imm2 (No. 44)
Asymmetric unit:
Sc 0.0000 0.0000 0.0000 (multiplicity 2)
Sc 0.0000 0.5000 0.2098 (multiplicity 2)
Ta 0.0000 0.0000 0.4162 (multiplicity 2)
Fe 0.0000 0.5000 0.7249 (multiplicity 2)

Values from the calculation:
formation enthalpy at 0 K = -0.0331 eV/atom
offset from the most stable computed form = 0.0 kJ/mol of formula units
Fermi-level density of states = 0.597 states/eV/atom

[5]
# Sc2TaFe

Sc2TaFe after structural relaxation (PBE, Alexandria).

a b c (Å): 3.0857 3.0857 7.4577
angles (deg): 90.00 90.00 90.00
Space group P4/mmm (No. 123)
Asymmetric unit:
Sc 0.0000 0.0000 0.2052 (multiplicity 2)
Ta 0.5000 0.5000 0.5000 (multiplicity 1)
Fe 0.5000 0.5000 0.0000 (multiplicity 1)

Values from the calculation:
formation enthalpy at 0 K = 0.1082 eV/atom
offset from the most stable computed form = 54.5 kJ/mol of formula units
Fermi-level density of states = 1.717 states/eV/atom

[6]
# Sc2Ta2Fe

Sc2Ta2Fe after structural relaxation (PBE, Alexandria).

a b c (Å): 6.2947 6.2947 4.8813
angles (deg): 90.00 90.00 90.00
Space group P4/mbm (No. 127)
Asymmetric unit:
Sc 0.1652 0.3348 0.0000 (multiplicity 4)
Ta 0.1539 0.6539 0.5000 (multiplicity 4)
Fe 0.0000 0.0000 0.5000 (multiplicity 2)

Values from the calculation:
formation enthalpy at 0 K = 0.1646 eV/atom
Fermi-level density of states = 0.421 states/eV/atom

Calculated E_tot (eV per cell), listed in the same order as above: -36.79; -92.65; -165.42; -66.22; -32.55; -88.02